DFT (PBE-GGA) results for an optimized crystal structure of Tm5HgRh4.

Lattice parameters (Å, degrees): 3.406 3.406 17.566 90.00 90.00 90.00
Positions (direct):
Tm 0.500 0.500 0.120
Tm 0.500 0.500 0.309
Tm 0.500 0.500 0.500
Tm 0.500 0.500 0.691
Tm 0.500 0.500 0.880
Hg 0.000 0.000 0.000
Rh 0.000 0.000 0.212
Rh 0.000 0.000 0.405
Rh 0.000 0.000 0.595
Rh 0.000 0.000 0.788

Output
Symmetry ... P4/mmm
Formation enthalpy at 0 K ... -0.876 eV/atom
Total moment ... 0.000 μB/atom

DFT (PBE-GGA) results for an optimized crystal structure of BaCdN2F.

Lattice parameters (Å, degrees): 4.779 4.779 4.876 90.00 90.00 90.00
Positions (direct):
N 0.000 0.500 0.000
N 0.500 0.000 0.000
F 0.000 0.000 0.500
Ba 0.000 0.000 0.000
Cd 0.500 0.500 0.500

Output
Symmetry ... P4/mmm
Total moment ... 0.229 μB/atom
Raw formation energy ... 0.7278 eV/atom
Energy relative to the lowest polymorph listed for this composition ... 0.8628 eV per atom

DFT (PBE-GGA) results for an optimized crystal structure of FeAu2.

Lattice parameters (Å, degrees): 12.852 12.852 12.852 167.43 167.43 17.81
Positions (direct):
Fe 0.000 0.000 0.000
Fe 0.750 0.250 0.500
Au 0.325 0.825 0.500
Au 0.175 0.675 0.500
Au 0.575 0.575 0.000
Au 0.425 0.425 0.000

Output
Symmetry ... I4_1/amd
Formation enthalpy at 0 K ... 0.131 eV/atom
Total moment ... 1.018 μB/atom

DFT (PBE-GGA) results for an optimized crystal structure of YIn2Ru.

Lattice parameters (Å, degrees): 5.637 5.637 5.637 140.78 128.70 66.43
Positions (direct):
In 0.025 0.025 0.000
In 0.475 0.475 0.000
Ru 0.250 0.750 0.500
Y 0.750 0.250 0.500

Output
Symmetry ... Immm
Formation enthalpy at 0 K ... -0.155 eV/atom
Total moment ... 0.000 μB/atom

DFT (PBE-GGA) results for an optimized crystal structure of TlCoSe2.

Lattice parameters (Å, degrees): 7.123 7.123 6.344 55.84 55.84 90.00
Positions (direct):
Tl 0.000 0.000 0.000
Tl 0.750 0.250 0.500
Co 0.500 0.500 0.000
Co 0.250 0.750 0.500
Se 0.516 0.125 0.250
Se 0.234 0.625 0.250
Se 0.375 0.484 0.750
Se 0.875 0.766 0.750

Output
Symmetry ... I-42d
Total moment ... 0.000 μB/atom
Raw formation energy ... -0.2142 eV/atom

DFT (PBE-GGA) results for an optimized crystal structure of ZrV2In.

Lattice parameters (Å, degrees): 7.391 7.391 5.939 51.52 51.52 90.00
Positions (direct):
In 0.000 0.000 0.000
In 0.750 0.250 0.500
Zr 0.500 0.500 0.000
Zr 0.250 0.750 0.500
V 0.628 0.125 0.250
V 0.122 0.625 0.250
V 0.375 0.372 0.750
V 0.875 0.878 0.750

Output
Symmetry ... I-42d
Formation enthalpy at 0 K ... 0.724 eV/atom
Total moment ... 0.179 μB/atom